The following is a DFT calculation (GGA-PBE) of an optimized crystal structure of AlCr.

```
2
Lattice="3.5039 0.0000 0.0000 1.7520 3.0345 0.0000 1.7520 1.0115 2.8609" Properties=species:S:1:pos:R:3 pbc="T T T"
Cr 3.5039 2.0230 1.4305
Al 0.0000 0.0000 0.0000
```

Calculated values
The value obtained for the calculated formation energy is 1.49 eV per formula unit. As for the electronic total energy: -5.94 eV/atom. The calculation puts the total magnetic moment at 1.15 μB per formula unit.